Material: La2ScAg
Method: DFT, SCAN
State: single point on PBEsol structure

As for the distance to the lowest polymorph of the same formula: 2 meV per atom. The calculation puts the energy of formation from the pure elements at -0.12 eV/atom. For the raw total energy, the calculation gives -33.07 eV per atom.

abc: 3.6060 5.4455 6.3840
angles: 115.25 106.40 90.00
Fractional coordinates of all 4 atoms:
Sc: 0.5335 0.0335 0.0671
Ag: 0.2326 0.2326 0.4651
La: 0.9796 0.4796 0.9593
La: 0.7543 0.7543 0.5086